# 1
{
  "formula": "FeTcRu2",
  "functional": "PBE-GGA",
  "state": "relaxed",
  "cell": [[-0.146, -3.029, 3.037], [-0.304, -4.135, -1.107], [3.347, -2.627, 0.574]],
  "species": ["Ru", "Fe", "Ru", "Tc"],
  "fractional_positions": [[0.000, 0.000, 0.000], [0.500, 0.500, 0.500], [0.250, 0.250, 0.250], [0.750, 0.750, 0.750]],
  "space_group": "F-43m (216)",
  "e_above_lowest_polymorph_ev_per_atom": 0.272,
  "ef_ev_per_atom": 0.367
}

***

# 2
{
  "formula": "Ru2PtBr",
  "functional": "PBE-GGA",
  "state": "relaxed",
  "cell": [[5.408, -0.004, 0.004], [2.611, 4.735, -0.004], [-3.385, -3.424, 2.462]],
  "species": ["Br", "Ru", "Pt", "Ru"],
  "fractional_positions": [[0.750, 0.250, 0.500], [0.980, 0.980, 0.000], [0.250, 0.750, 0.500], [0.520, 0.520, 0.000]],
  "space_group": "Immm (71)",
  "raw_formation_energy_ev_per_atom": 0.89,
  "e_above_lowest_polymorph_ev_per_atom": 0.446
}

***

# 3
{
  "formula": "TbNd2Pb3",
  "functional": "PBE-GGA",
  "state": "relaxed",
  "cell": [[5.900, -0.300, -0.516], [-1.654, 8.587, 0.200], [-1.654, -4.084, 7.557]],
  "species": ["Nd", "Pb", "Tb", "Nd", "Pb", "Tb", "Pb", "Pb", "Nd", "Nd", "Pb", "Pb"],
  "fractional_positions": [[0.750, 0.083, 0.917], [0.000, 0.500, 0.000], [0.750, 0.416, 0.584], [0.250, 0.248, 0.752], [0.500, 0.000, 0.500], [0.250, 0.584, 0.416], [0.005, 0.826, 0.663], [0.505, 0.663, 0.826], [0.250, 0.917, 0.083], [0.750, 0.752, 0.248], [0.995, 0.174, 0.337], [0.495, 0.337, 0.174]],
  "space_group": "C2/c (15)",
  "e_above_lowest_polymorph_ev_per_atom": 0.020,
  "ef_ev_per_atom": -0.477
}

***

# 4
{
  "formula": "TaAg2Se",
  "functional": "PBE-GGA",
  "state": "relaxed",
  "cell": [[5.074, 0.000, 0.000], [0.000, 2.929, 0.097], [0.000, 2.106, 5.160]],
  "species": ["Se", "Ag", "Ta", "Ag"],
  "fractional_positions": [[0.500, 0.250, 0.250], [0.000, 0.230, 0.993], [0.500, 0.750, 0.750], [0.000, 0.270, 0.507]],
  "space_group": "P2/m (10)",
  "raw_formation_energy_ev_per_atom": 0.33
}

***

# 5
{
  "formula": "InTc2Sb",
  "functional": "PBE-GGA",
  "state": "relaxed",
  "cell": [[8.742, 0.027, 0.016], [8.175, 3.098, 0.016], [8.175, 1.510, 2.705]],
  "species": ["Tc", "Tc", "In", "Sb"],
  "fractional_positions": [[0.004, 0.004, 0.004], [0.496, 0.496, 0.496], [0.250, 0.250, 0.250], [0.750, 0.750, 0.750]],
  "space_group": "R-3m (166)",
  "raw_formation_energy_ev_per_atom": 0.36,
  "e_above_lowest_polymorph_ev_per_atom": 0.265
}

***

# 6
{
  "formula": "Mg2ReSi",
  "functional": "PBE-GGA",
  "state": "relaxed",
  "cell": [[4.435, 0.000, 0.000], [2.217, 3.841, 0.000], [2.217, 1.280, 3.621]],
  "species": ["Re", "Mg", "Mg", "Si"],
  "fractional_positions": [[0.500, 0.500, 0.500], [0.750, 0.750, 0.750], [0.000, 0.000, 0.000], [0.250, 0.250, 0.250]],
  "space_group": "F-43m (216)",
  "raw_formation_energy_ev_per_atom": 0.25
}

***

no.,total moment (μB per atom)
1,1.1183
2,0.0000
3,0.0000
4,0.0000
5,0.1295
6,0.0000